Here is LiSb2IF at its PBEsol-relaxed geometry from the Alexandria database. Energies are from SCAN.

Calculated values
E_form (uncorrected)   -0.34 eV/atom
Total magnetization   0.0 μB/f.u.
VASP energy   -23.7773 eV per atom

Cell: 4.606 4.606 6.315 Å, 90.00 90.00 90.00°
Space group P4/mmm (No. 123)
Asymmetric unit:
Li (0.000, 0.000, 0.000)
Sb (0.000, 0.500, 0.500)
I (0.500, 0.500, 0.000)
F (0.500, 0.500, 0.500)

Here is MgIF3 at its PBEsol-relaxed geometry from the Alexandria database. Energies are from SCAN.

Calculated values
E_form (uncorrected)   -2.20 eV/atom
Total magnetization   2.0 μB/f.u.
VASP energy   -12.6623 eV per atom

Cell: 4.126 4.126 4.126 Å, 90.00 90.00 90.00°
Space group Pm-3m (No. 221)
Asymmetric unit:
Mg (0.000, 0.000, 0.000)
I (0.500, 0.500, 0.500)
F (0.000, 0.000, 0.500)

Here is MgIOF2 at its PBEsol-relaxed geometry from the Alexandria database. Energies are from SCAN.

Calculated values
E_form (uncorrected)   -1.81 eV/atom
Total magnetization   0.0 μB/f.u.
Relative energy among the computed polymorphs   0.000 eV per atom
VASP energy   -12.8120 eV per atom

Cell: 3.683 3.683 5.129 Å, 90.00 90.00 90.00°
Space group P4/mmm (No. 123)
Asymmetric unit:
Mg (0.000, 0.000, 0.000)
I (0.500, 0.500, 0.500)
O (0.000, 0.000, 0.500)
F (0.000, 0.500, 0.000)